# Zn2In2Pb

A relaxed structure of Zn2In2Pb (PBE, Alexandria).

The structure in extended XYZ format:
```
5
Lattice="4.307 0.000 0.000 0.000 4.307 0.000 2.153 2.153 6.533" Properties=species:S:1:pos:R:3 pbc="T T T"
Pb 0.000 0.000 0.000
Zn 4.307 2.153 3.266
Zn 2.153 4.307 3.266
In 2.153 2.153 1.473
In 4.307 4.307 5.060
```

## Properties
Offset from the most stable computed form ... 41.7 meV per atom
SG ... I4/mmm, No. 139
Raw total energy ... -11.07 eV per cell

***

# Zn2InPb

A relaxed structure of Zn2InPb (PBE, Alexandria).

The structure in extended XYZ format:
```
4
Lattice="4.354 0.000 0.000 0.000 4.034 0.011 0.000 2.138 5.231" Properties=species:S:1:pos:R:3 pbc="T T T"
Pb 2.177 4.931 4.313
Zn 0.000 2.945 5.155
Zn 2.177 0.728 1.416
In 0.000 2.792 2.209
```

## Properties
Offset from the most stable computed form ... 0.0 meV per atom
SG ... Pm, No. 6
Raw total energy ... -8.62 eV per cell

***

# ZnIn2Pb

A relaxed structure of ZnIn2Pb (PBE, Alexandria).

The structure in extended XYZ format:
```
4
Lattice="5.412 0.000 0.000 0.000 5.412 0.000 0.000 0.000 3.607" Properties=species:S:1:pos:R:3 pbc="T T T"
In 0.000 0.000 0.000
In 2.706 2.706 0.000
Pb 2.706 0.000 1.803
Zn 0.000 2.706 1.803
```

## Properties
SG ... P4/mmm, No. 123
Raw total energy ... -9.93 eV per cell